Record 1
PBE LiNd3Mg4, relaxed; symmetry = P4/mmm (123); DFT formation energy = -0.075 eV per atom
1.0
3.808 0.000 0.000
0.000 3.808 0.000
0.000 0.000 15.267
Li Nd Mg
1 3 4
Direct
0.000 0.000 0.000 Li
0.000 0.000 0.244 Nd
0.000 0.000 0.500 Nd
0.000 0.000 0.756 Nd
0.500 0.500 0.106 Mg
0.500 0.500 0.371 Mg
0.500 0.500 0.629 Mg
0.500 0.500 0.894 Mg

=====

Record 2
PBE RbAlCl4, relaxed; symmetry = C2/c (15); E_form (uncorrected) = -1615.3 meV/atom
1.0
7.642 -3.151 0.000
7.642 3.151 0.000
-1.988 0.000 6.520
Rb Al Cl
2 2 8
Direct
0.181 0.819 0.750 Rb
0.819 0.181 0.250 Rb
0.000 0.500 0.000 Al
0.500 0.000 0.500 Al
0.151 0.251 0.673 Cl
0.251 0.151 0.173 Cl
0.259 0.526 0.074 Cl
0.474 0.741 0.426 Cl
0.526 0.259 0.574 Cl
0.741 0.474 0.926 Cl
0.749 0.849 0.827 Cl
0.849 0.749 0.327 Cl